No. 1
DFT (GGA-PBE) results for a relaxed La3Nd5Tm4 crystal.

Lattice parameters (Å, degrees): 8.7537 8.7537 9.3576 115.07 115.07 40.22
Closest atoms and distances in Å follow each position.
Fractional positions:
La: 0.0000 0.0000 0.0000  2 Nd 3.01
La: 0.2948 0.2948 0.7831  3 Nd 3.05-3.31, 1 Tm 3.31
La: 0.7052 0.7052 0.2169  3 Nd 3.05-3.31, 1 Tm 3.31
Nd: 0.0768 0.0768 0.7010  2 La 3.31-3.55, 1 Nd 3.46, 2 Tm 3.63
Nd: 0.1733 0.1733 0.3942  4 La 3.27-3.59, 3 Tm 3.49-3.64
Nd: 0.5000 0.5000 0.0000  4 La 3.01-3.05
Nd: 0.8267 0.8267 0.6058  4 La 3.27-3.59, 3 Tm 3.49-3.64
Nd: 0.9232 0.9232 0.2990  2 La 3.31-3.55, 1 Nd 3.46, 2 Tm 3.63
Tm: 0.2903 0.2903 0.1326  3 La 3.31-3.55, 1 Tm 3.61, 2 Nd 3.63
Tm: 0.4209 0.4209 0.5633  2 Tm 3.31-3.61, 4 Nd 3.49-3.69, 1 La 3.52
Tm: 0.5791 0.5791 0.4367  2 Tm 3.31-3.61, 4 Nd 3.49-3.69, 1 La 3.52
Tm: 0.7097 0.7097 0.8674  3 La 3.31-3.55, 1 Tm 3.61, 2 Nd 3.63

## Properties
Calculated total energy: -4.481 eV/atom
Calculated density: 7.3 g/cm3
Space-group type: C2/m (12)
Calculated formation energy: 5.3 kcal/mol of atoms
Crystal system: monoclinic



No. 2
DFT (GGA-PBE) results for a relaxed DyZr2Cu9 crystal.

Lattice parameters (Å, degrees): 8.6574 8.6574 8.6574 34.07 34.07 34.07
Closest atoms and distances in Å follow each position.
Fractional positions:
Dy: 0.0000 0.0000 0.0000  18 Cu 2.93-3.26
Zr: 0.1514 0.1514 0.1514  12 Cu 2.81-3.03, 3 Zr 3.02
Zr: 0.8486 0.8486 0.8486  12 Cu 2.81-3.03, 3 Zr 3.02
Cu: 0.0838 0.5835 0.5835  7 Cu 2.49-2.54
Cu: 0.3323 0.3323 0.3323  6 Cu 2.49-2.53
Cu: 0.4165 0.4165 0.9162  7 Cu 2.49-2.54
Cu: 0.4165 0.9162 0.4165  7 Cu 2.49-2.54
Cu: 0.5000 0.5000 0.5000  6 Cu 2.50
Cu: 0.5835 0.0838 0.5835  7 Cu 2.49-2.54
Cu: 0.5835 0.5835 0.0838  7 Cu 2.49-2.54
Cu: 0.6677 0.6677 0.6677  6 Cu 2.49-2.53
Cu: 0.9162 0.4165 0.4165  7 Cu 2.49-2.54

## Properties
Calculated total energy: -5.027 eV/atom
Calculated density: 8.4 g/cm3
Space-group type: R-3m (166)
Calculated formation energy: -3.4 kcal/mol of atoms
Crystal system: trigonal



No. 3
DFT (GGA-PBE) results for a relaxed Li2FeP2 crystal.

Lattice parameters (Å, degrees): 5.7314 5.7314 4.0193 90.00 90.00 90.00
Closest atoms and distances in Å follow each position.
Fractional positions:
Li: 0.1750 0.3250 0.0000  6 P 2.51-2.70
Li: 0.3250 0.8250 0.0000  6 P 2.51-2.70
Li: 0.6750 0.1750 0.0000  6 P 2.51-2.70
Li: 0.8250 0.6750 0.0000  6 P 2.51-2.70
Fe: 0.0000 0.0000 0.5000  4 P 2.22
Fe: 0.5000 0.5000 0.5000  4 P 2.22
P: 0.1387 0.6387 0.5000  2 Fe 2.22, 1 P 2.25
P: 0.3613 0.1387 0.5000  2 Fe 2.22, 1 P 2.25
P: 0.6387 0.8613 0.5000  2 Fe 2.22, 1 P 2.25
P: 0.8613 0.3613 0.5000  2 Fe 2.22, 1 P 2.25

## Properties
Calculated total energy: -5.193 eV/atom
Calculated density: 3.3 g/cm3
Space-group type: P4/mbm (127)
Calculated formation energy: -13.2 kcal/mol of atoms
Crystal system: tetragonal



No. 4
DFT (GGA-PBE) results for a relaxed Ca2Tb3YSe6 crystal.

Lattice parameters (Å, degrees): 7.1135 7.1135 7.1916 99.51 99.51 120.05
Closest atoms and distances in Å follow each position.
Fractional positions:
Ca: 0.1666 0.8334 0.0000  6 Se 2.91-2.93
Ca: 0.8334 0.1666 0.0000  6 Se 2.91-2.93
Tb: 0.0000 0.0000 0.5000  6 Se 2.91-2.92
Tb: 0.3301 0.6699 0.5000  6 Se 2.90-2.92
Tb: 0.6699 0.3301 0.5000  6 Se 2.90-2.92
Y: 0.5000 0.5000 0.0000  6 Se 2.90-2.92
Se: 0.0851 0.4170 0.7512  3 Tb 2.90-2.92, 1 Y 2.90, 2 Ca 2.91-2.92
Se: 0.2528 0.2528 0.2540  3 Tb 2.91-2.92, 1 Y 2.92, 2 Ca 2.93
Se: 0.4170 0.0851 0.7512  3 Tb 2.90-2.92, 1 Y 2.90, 2 Ca 2.91-2.92
Se: 0.5830 0.9149 0.2488  3 Tb 2.90-2.92, 1 Y 2.90, 2 Ca 2.91-2.92
Se: 0.7472 0.7472 0.7460  3 Tb 2.91-2.92, 1 Y 2.92, 2 Ca 2.93
Se: 0.9149 0.5830 0.2488  3 Tb 2.90-2.92, 1 Y 2.90, 2 Ca 2.91-2.92

## Properties
Calculated total energy: -5.614 eV/atom
Calculated density: 6.3 g/cm3
Formation energy from raw total energies: -1842 meV/atom
Space-group type: C2/m (12)
Crystal system: monoclinic



No. 5
DFT (GGA-PBE) results for a relaxed ErMnB2 crystal.

Lattice parameters (Å, degrees): 3.4844 3.4844 13.8569 90.00 90.00 120.00
Closest atoms and distances in Å follow each position.
Fractional positions:
Er: 0.0000 0.0000 0.0000  8 B 2.74-2.76, 6 Mn 3.06
Er: 0.3333 0.6667 0.6667  8 B 2.74-2.76, 6 Mn 3.06
Er: 0.6667 0.3333 0.3333  8 B 2.74-2.76, 6 Mn 3.06
Mn: 0.0000 0.0000 0.5000  6 B 2.06
Mn: 0.3333 0.6667 0.1667  6 B 2.06
Mn: 0.6667 0.3333 0.8333  6 B 2.06
B: 0.0000 0.0000 0.1992  3 Mn 2.06, 3 B 2.20
B: 0.0000 0.0000 0.8008  3 Mn 2.06, 3 B 2.20
B: 0.3333 0.6667 0.4675  3 Mn 2.06, 3 B 2.20
B: 0.3333 0.6667 0.8658  3 Mn 2.06, 3 B 2.20
B: 0.6667 0.3333 0.1342  3 Mn 2.06, 3 B 2.20
B: 0.6667 0.3333 0.5325  3 Mn 2.06, 3 B 2.20

## Properties
Calculated total energy: -6.966 eV/atom
Calculated density: 8.3 g/cm3
Space-group type: R-3m (166)
Calculated formation energy: -4.5 kcal/mol of atoms
Crystal system: trigonal



No. 6
DFT (GGA-PBE) results for a relaxed Tb12DyIn3 crystal.

Lattice parameters (Å, degrees): 4.8755 4.8755 19.8619 90.00 90.00 90.00
Closest atoms and distances in Å follow each position.
Fractional positions:
Tb: 0.0000 0.0000 0.0000  4 In 3.45, 8 Tb 3.45
Tb: 0.0000 0.0000 0.2455  8 Tb 3.44-3.47, 4 In 3.45
Tb: 0.0000 0.0000 0.5000  4 Dy 3.45, 8 Tb 3.56
Tb: 0.0000 0.0000 0.7545  8 Tb 3.44-3.47, 4 In 3.45
Tb: 0.0000 0.5000 0.1231  4 In 3.42-3.45, 8 Tb 3.44-3.45
Tb: 0.0000 0.5000 0.3696  8 Tb 3.45-3.56, 2 In 3.49, 2 Dy 3.56
Tb: 0.0000 0.5000 0.6304  8 Tb 3.45-3.56, 2 In 3.49, 2 Dy 3.56
Tb: 0.0000 0.5000 0.8769  4 In 3.42-3.45, 8 Tb 3.44-3.45
Tb: 0.5000 0.0000 0.1231  4 In 3.42-3.45, 8 Tb 3.44-3.45
Tb: 0.5000 0.0000 0.3696  8 Tb 3.45-3.56, 2 In 3.49, 2 Dy 3.56
Tb: 0.5000 0.0000 0.6304  8 Tb 3.45-3.56, 2 In 3.49, 2 Dy 3.56
Tb: 0.5000 0.0000 0.8769  4 In 3.42-3.45, 8 Tb 3.44-3.45
Dy: 0.5000 0.5000 0.5000  12 Tb 3.45-3.56
In: 0.5000 0.5000 0.0000  12 Tb 3.45
In: 0.5000 0.5000 0.2439  12 Tb 3.42-3.49
In: 0.5000 0.5000 0.7561  12 Tb 3.42-3.49

## Properties
Calculated total energy: -4.468 eV/atom
Calculated density: 8.5 g/cm3
Space-group type: P4/mmm (123)
Calculated formation energy: -4.5 kcal/mol of atoms
Crystal system: tetragonal



No. 7
DFT (GGA-PBE) results for a relaxed Ni3Te6Rh crystal.

Lattice parameters (Å, degrees): 6.6923 6.7017 7.4110 115.85 116.12 90.11
Closest atoms and distances in Å follow each position.
Fractional positions:
Ni: 0.0000 0.0000 0.0000  4 Te 2.49-2.50
Ni: 0.0000 0.0000 0.5000  4 Te 2.54
Ni: 0.0000 0.5000 0.0000  4 Te 2.49-2.50
Te: 0.1015 0.6148 0.4037  2 Ni 2.49-2.54, 1 Rh 2.65
Te: 0.2857 0.2600 0.0185  2 Ni 2.50
Te: 0.2893 0.1002 0.4001  2 Ni 2.49-2.54, 1 Rh 2.66
Te: 0.7107 0.8998 0.5999  2 Ni 2.49-2.54, 1 Rh 2.66
Te: 0.7143 0.7400 0.9815  2 Ni 2.50
Te: 0.8985 0.3852 0.5963  2 Ni 2.49-2.54, 1 Rh 2.65
Rh: 0.5000 0.5000 0.5000  6 Te 2.65-2.80

## Properties
Calculated total energy: -4.449 eV/atom
Calculated density: 6.7 g/cm3
Formation energy from raw total energies: -95 meV/atom
Space-group type: P-1 (2)
Crystal system: triclinic



No. 8
DFT (GGA-PBE) results for a relaxed ErMnFeP2 crystal.

Lattice parameters (Å, degrees): 3.8585 3.8585 9.3315 90.00 90.00 90.00
Closest atoms and distances in Å follow each position.
Fractional positions:
Er: 0.0000 0.0000 0.0000  8 P 3.00, 4 Mn 3.03, 4 Fe 3.03
Er: 0.5000 0.5000 0.5000  8 P 3.00, 4 Mn 3.03, 4 Fe 3.03
Mn: 0.0000 0.5000 0.7500  4 P 2.21
Mn: 0.5000 0.0000 0.2500  4 P 2.21
Fe: 0.0000 0.5000 0.2500  4 P 2.21
Fe: 0.5000 0.0000 0.7500  4 P 2.21
P: 0.0000 0.0000 0.3665  2 Mn 2.21, 2 Fe 2.21
P: 0.0000 0.0000 0.6335  2 Mn 2.21, 2 Fe 2.21
P: 0.5000 0.5000 0.1335  2 Mn 2.21, 2 Fe 2.21
P: 0.5000 0.5000 0.8665  2 Mn 2.21, 2 Fe 2.21

## Properties
Calculated total energy: -7.575 eV/atom
Calculated density: 8.1 g/cm3
Space-group type: I-4m2 (119)
Calculated formation energy: -22.4 kcal/mol of atoms
Crystal system: tetragonal



Q: The lowest calculated total energy belongs to which entry?
A: ErMnFeP2



Q: Which value of calculated density does entry 7 give?
A: 6.7 g/cm3